(1)
# BaMgOs2

A geometry-optimized BaMgOs2 structure (PBE-GGA, Alexandria via LeMat-Bulk).

It has space group F-43m (No. 216), with a = 6.865 Å, b = 6.865 Å, c = 6.865 Å, α = 90.00°, β = 90.00° and γ = 90.00°. The inequivalent atoms are Ba at (0.000, 0.000, 0.000), Mg at (0.250, 0.250, 0.750), Os at (0.000, 0.000, 0.500) and Os at (0.250, 0.250, 0.250).

The density of states at the Fermi level is 17.0 states/eV per cell. For the energy, the calculation gives -5.3264 eV per atom. The crystal system is cubic.

(2)
# BaMg2Os

A geometry-optimized BaMg2Os structure (PBE-GGA, Alexandria via LeMat-Bulk).

It has space group Immm (No. 71), with a = 3.481 Å, b = 5.511 Å, c = 10.793 Å, α = 90.00°, β = 90.00° and γ = 90.00°. The inequivalent atoms are Ba at (0.000, 0.000, 0.000), Mg at (0.000, 0.500, 0.192) and Os at (0.000, 0.000, 0.500).

The density of states at the Fermi level is 7.3 states/eV per cell. For the energy, the calculation gives -3.6338 eV per atom. The crystal system is orthorhombic.

(3)
# BaMgOs2

A geometry-optimized BaMgOs2 structure (PBE-GGA, Alexandria via LeMat-Bulk).

It has space group R3m (No. 160, hexagonal axes), with a = 2.9984 Å, b = 2.9984 Å, c = 31.6988 Å, α = 90.00°, β = 90.00° and γ = 120.00°. The inequivalent atoms are Ba at (0.0000, 0.0000, 0.0000), Mg at (0.0000, 0.0000, 0.7756), Os at (0.0000, 0.0000, 0.2413) and Os at (0.0000, 0.0000, 0.5130).

The density of states at the Fermi level is 11.7 states/eV per cell. For the energy, the calculation gives -5.6379 eV per atom. The crystal system is trigonal.

(4)
# Ba2MgOs

A geometry-optimized Ba2MgOs structure (PBE-GGA, Alexandria via LeMat-Bulk).

It has space group I-4m2 (No. 119), with a = 5.166 Å, b = 5.166 Å, c = 8.474 Å, α = 90.00°, β = 90.00° and γ = 90.00°. The inequivalent atoms are Ba at (0.000, 0.000, 0.000), Ba at (0.000, 0.500, 0.250), Mg at (0.000, 0.500, 0.750) and Os at (0.000, 0.000, 0.500).

The density of states at the Fermi level is 6.0 states/eV per cell. For the energy, the calculation gives -3.4660 eV per atom. The crystal system is tetragonal.

(5)
# BaMg2Os

A geometry-optimized BaMg2Os structure (PBE-GGA, Alexandria via LeMat-Bulk).

It has space group R-3m (No. 166, hexagonal axes), with a = 4.6288 Å, b = 4.6288 Å, c = 17.6513 Å, α = 90.00°, β = 90.00° and γ = 120.00°. The inequivalent atoms are Ba at (0.0000, 0.0000, 0.0000), Mg at (0.0000, 0.0000, 0.1975) and Os at (0.0000, 0.0000, 0.5000).

The density of states at the Fermi level is 5.0 states/eV per cell. For the energy, the calculation gives -3.7226 eV per atom. The crystal system is trigonal.

(6)
# BaMg4Os

A geometry-optimized BaMg4Os structure (PBE-GGA, Alexandria via LeMat-Bulk).

It has space group F-43m (No. 216), with a = 8.200 Å, b = 8.200 Å, c = 8.200 Å, α = 90.00°, β = 90.00° and γ = 90.00°. The inequivalent atoms are Ba at (0.000, 0.000, 0.000), Mg at (0.123, 0.123, 0.623) and Os at (0.250, 0.250, 0.250).

The density of states at the Fermi level is 30.1 states/eV per cell. For the energy, the calculation gives -2.7579 eV per atom. The crystal system is cubic.

(7)
# BaMg2Os

A geometry-optimized BaMg2Os structure (PBE-GGA, Alexandria via LeMat-Bulk).

It has space group R3m (No. 160, hexagonal axes), with a = 3.2774 Å, b = 3.2774 Å, c = 31.4774 Å, α = 90.00°, β = 90.00° and γ = 120.00°. The inequivalent atoms are Ba at (0.0000, 0.0000, 0.0000), Mg at (0.0000, 0.0000, 0.5275), Mg at (0.0000, 0.0000, 0.7745) and Os at (0.0000, 0.0000, 0.2558).

The density of states at the Fermi level is 7.7 states/eV per cell. For the energy, the calculation gives -3.3930 eV per atom. The crystal system is trigonal.

(8)
# BaMgOs2

A geometry-optimized BaMgOs2 structure (PBE-GGA, Alexandria via LeMat-Bulk).

It has space group R-3m (No. 166, hexagonal axes), with a = 2.9646 Å, b = 2.9646 Å, c = 30.2850 Å, α = 90.00°, β = 90.00° and γ = 120.00°. The inequivalent atoms are Ba at (0.0000, 0.0000, 0.0000), Mg at (0.0000, 0.0000, 0.5000) and Os at (0.0000, 0.0000, 0.2385).

The density of states at the Fermi level is 10.6 states/eV per cell. For the energy, the calculation gives -5.4638 eV per atom. The crystal system is trigonal.

(9)
# BaMgOs2

A geometry-optimized BaMgOs2 structure (PBE-GGA, Alexandria via LeMat-Bulk).

It has space group I4/mmm (No. 139), with a = 4.287 Å, b = 4.287 Å, c = 8.889 Å, α = 90.00°, β = 90.00° and γ = 90.00°. The inequivalent atoms are Ba at (0.000, 0.000, 0.000), Mg at (0.000, 0.000, 0.500) and Os at (0.000, 0.500, 0.250).

The density of states at the Fermi level is 9.7 states/eV per cell. For the energy, the calculation gives -5.2289 eV per atom. The crystal system is tetragonal.

(10)
# BaMg2Os

A geometry-optimized BaMg2Os structure (PBE-GGA, Alexandria via LeMat-Bulk).

It has space group C2/m (No. 12), with a = 6.061 Å, b = 10.708 Å, c = 3.206 Å, α = 90.00°, β = 113.88° and γ = 90.00°. The inequivalent atoms are Ba at (0.000, 0.000, 0.000), Mg at (0.250, 0.250, 0.500) and Os at (0.000, 0.500, 0.000).

The density of states at the Fermi level is 8.2 states/eV per cell. For the energy, the calculation gives -3.2701 eV per atom. The crystal system is monoclinic.

(11)
# BaMgOs3

A geometry-optimized BaMgOs3 structure (PBE-GGA, Alexandria via LeMat-Bulk).

It has space group Pm-3m (No. 221), with a = 5.080 Å, b = 5.080 Å, c = 5.080 Å, α = 90.00°, β = 90.00° and γ = 90.00°. The inequivalent atoms are Ba at (0.000, 0.000, 0.000), Mg at (0.500, 0.500, 0.500) and Os at (0.000, 0.000, 0.500).

The density of states at the Fermi level is 8.6 states/eV per cell. As for the energy above the most stable polymorph in this dataset: 1.365 eV per atom. For the energy, the calculation gives -4.0817 eV per atom. The crystal system is cubic.

(12)
# RbBa2MgOs

A geometry-optimized RbBa2MgOs structure (PBE-GGA, Alexandria via LeMat-Bulk).

It has space group P4/mmm (No. 123), with a = 5.879 Å, b = 5.879 Å, c = 6.663 Å, α = 90.00°, β = 90.00° and γ = 90.00°. The inequivalent atoms are Rb at (0.000, 0.000, 0.000), Ba at (0.000, 0.500, 0.500), Mg at (0.500, 0.500, 0.000) and Os at (0.000, 0.000, 0.500).

The density of states at the Fermi level is 5.1 states/eV per cell. For the energy, the calculation gives -2.8213 eV per atom. The crystal system is tetragonal.

(13)
# BaMgSbOs2

A geometry-optimized BaMgSbOs2 structure (PBE-GGA, Alexandria via LeMat-Bulk).

It has space group P4/mmm (No. 123), with a = 4.974 Å, b = 4.974 Å, c = 6.022 Å, α = 90.00°, β = 90.00° and γ = 90.00°. The inequivalent atoms are Ba at (0.000, 0.000, 0.000), Mg at (0.500, 0.500, 0.000), Sb at (0.000, 0.000, 0.500) and Os at (0.000, 0.500, 0.500).

The density of states at the Fermi level is 4.7 states/eV per cell. For the energy, the calculation gives -4.5446 eV per atom. The uncorrected formation energy comes out at 1.475 eV per atom. The crystal system is tetragonal.

(14)
# BaMgSc2Os

A geometry-optimized BaMgSc2Os structure (PBE-GGA, Alexandria via LeMat-Bulk).

It has space group P4/mmm (No. 123), with a = 5.109 Å, b = 5.109 Å, c = 5.414 Å, α = 90.00°, β = 90.00° and γ = 90.00°. The inequivalent atoms are Ba at (0.000, 0.000, 0.000), Mg at (0.500, 0.500, 0.000), Sc at (0.000, 0.500, 0.500) and Os at (0.500, 0.500, 0.500).

The density of states at the Fermi level is 2.8 states/eV per cell. For the energy, the calculation gives -5.5268 eV per atom. The crystal system is tetragonal.

(15)
# BaMg2SiOs

A geometry-optimized BaMg2SiOs structure (PBE-GGA, Alexandria via LeMat-Bulk).

It has space group P4/mmm (No. 123), with a = 5.143 Å, b = 5.143 Å, c = 4.682 Å, α = 90.00°, β = 90.00° and γ = 90.00°. The inequivalent atoms are Ba at (0.000, 0.000, 0.000), Mg at (0.000, 0.500, 0.500), Si at (0.500, 0.500, 0.000) and Os at (0.500, 0.500, 0.500).

The density of states at the Fermi level is 1.7 states/eV per cell. For the energy, the calculation gives -4.5273 eV per atom. The uncorrected formation energy comes out at -0.174 eV per atom. The crystal system is tetragonal.

(16)
# BaMg2SnOs

A geometry-optimized BaMg2SnOs structure (PBE-GGA, Alexandria via LeMat-Bulk).

It has space group P4/mmm (No. 123), with a = 5.188 Å, b = 5.188 Å, c = 5.134 Å, α = 90.00°, β = 90.00° and γ = 90.00°. The inequivalent atoms are Ba at (0.000, 0.000, 0.000), Mg at (0.000, 0.500, 0.500), Sn at (0.500, 0.500, 0.000) and Os at (0.500, 0.500, 0.500).

The density of states at the Fermi level is 2.0 states/eV per cell. For the energy, the calculation gives -4.1878 eV per atom. The crystal system is tetragonal.

(17)
# BaMgTa2Os

A geometry-optimized BaMgTa2Os structure (PBE-GGA, Alexandria via LeMat-Bulk).

It has space group P4/mmm (No. 123), with a = 4.972 Å, b = 4.972 Å, c = 5.278 Å, α = 90.00°, β = 90.00° and γ = 90.00°. The inequivalent atoms are Ba at (0.000, 0.000, 0.000), Mg at (0.500, 0.500, 0.000), Ta at (0.000, 0.500, 0.500) and Os at (0.500, 0.500, 0.500).

The density of states at the Fermi level is 7.3 states/eV per cell. For the energy, the calculation gives -6.9672 eV per atom. The crystal system is tetragonal.

(18)
# BaMgTi2Os

A geometry-optimized BaMgTi2Os structure (PBE-GGA, Alexandria via LeMat-Bulk).

It has space group P4/mmm (No. 123), with a = 5.018 Å, b = 5.018 Å, c = 4.816 Å, α = 90.00°, β = 90.00° and γ = 90.00°. The inequivalent atoms are Ba at (0.000, 0.000, 0.000), Mg at (0.500, 0.500, 0.500), Ti at (0.000, 0.500, 0.500) and Os at (0.500, 0.500, 0.000).

The density of states at the Fermi level is 8.4 states/eV per cell. For the energy, the calculation gives -4.7578 eV per atom. The crystal system is tetragonal.

(19)
# Ba2MgTlOs

A geometry-optimized Ba2MgTlOs structure (PBE-GGA, Alexandria via LeMat-Bulk).

It has space group P4/mmm (No. 123), with a = 6.501 Å, b = 6.501 Å, c = 5.092 Å, α = 90.00°, β = 90.00° and γ = 90.00°. The inequivalent atoms are Ba at (0.000, 0.500, 0.000), Mg at (0.000, 0.000, 0.500), Tl at (0.500, 0.500, 0.000) and Os at (0.500, 0.500, 0.500).

The density of states at the Fermi level is 6.6 states/eV per cell. For the energy, the calculation gives -2.9696 eV per atom. The crystal system is tetragonal.

(20)
# Ba2MgOsW

A geometry-optimized Ba2MgOsW structure (PBE-GGA, Alexandria via LeMat-Bulk).

It has space group P4/mmm (No. 123), with a = 6.181 Å, b = 6.181 Å, c = 5.022 Å, α = 90.00°, β = 90.00° and γ = 90.00°. The inequivalent atoms are Ba at (0.000, 0.500, 0.000), Mg at (0.000, 0.000, 0.000), Os at (0.500, 0.500, 0.500) and W at (0.000, 0.000, 0.500).

The density of states at the Fermi level is 5.1 states/eV per cell. For the energy, the calculation gives -3.7103 eV per atom. The crystal system is tetragonal.